Entry 1:
## PrCl (PBE-GGA)

Data for an optimized crystal structure of PrCl.

abc: 3.6282 3.6282 4.4753
angles: 90.00 90.00 120.00
Space group P-6m2 (No. 187)
Inequivalent atoms, fractional coordinates:
Pr 0.0000 0.0000 0.0000 (multiplicity 1)
Cl 0.3333 0.6667 0.5000 (multiplicity 1)

- Density: 5.7 g/cm3
- Total DFT energy (no corrections): -9.4 eV per cell
- Size of the total moment: 0.01 μB per formula unit

***

Entry 2:
## PrCl (PBE-GGA)

Data for an optimized crystal structure of PrCl.

abc: 6.5032 6.5032 6.5032
angles: 90.00 90.00 90.00
Space group F-43m (No. 216)
Inequivalent atoms, fractional coordinates:
Pr 0.0000 0.0000 0.0000 (multiplicity 4)
Cl 0.2500 0.2500 0.2500 (multiplicity 4)

- Density: 4.3 g/cm3
- Total DFT energy (no corrections): -34.5 eV per cell
- Size of the total moment: 0.04 μB per formula unit

***

Entry 3:
## PrCl (PBE-GGA)

Data for an optimized crystal structure of PrCl.

abc: 3.5971 3.5971 8.7985
angles: 90.00 90.00 120.00
Space group P6_3/mmc (No. 194)
Inequivalent atoms, fractional coordinates:
Pr 0.0000 0.0000 0.0000 (multiplicity 2)
Cl 0.3333 0.6667 0.2500 (multiplicity 2)

- Density: 5.9 g/cm3
- Total DFT energy (no corrections): -19.1 eV per cell
- Size of the total moment: 0.01 μB per formula unit

***

Entry 4:
## PrCl (PBE-GGA)

Data for an optimized crystal structure of PrCl.

abc: 5.8051 5.8051 5.8051
angles: 90.00 90.00 90.00
Space group Fm-3m (No. 225)
Inequivalent atoms, fractional coordinates:
Pr 0.0000 0.0000 0.0000 (multiplicity 4)
Cl 0.0000 0.0000 0.5000 (multiplicity 4)

- Density: 6.0 g/cm3
- Total DFT energy (no corrections): -36.6 eV per cell
- Size of the total moment: 0.01 μB per formula unit

***

Entry 5:
## Rb2PrCl5 (PBE-GGA)

Data for an optimized crystal structure of Rb2PrCl5.

abc: 13.2510 8.9885 8.2628
angles: 90.00 90.00 90.00
Space group Pnma (No. 62)
Inequivalent atoms, fractional coordinates:
Rb 0.1709 0.0065 0.0586 (multiplicity 8)
Pr 0.0058 0.2500 0.5720 (multiplicity 4)
Cl 0.0098 0.2500 0.9115 (multiplicity 4)
Cl 0.0717 0.5427 0.6647 (multiplicity 8)
Cl 0.1794 0.2500 0.3822 (multiplicity 4)
Cl 0.1988 0.7500 0.3467 (multiplicity 4)

- Density: 3.3 g/cm3
- Total DFT energy (no corrections): -133.4 eV per cell
- Size of the total moment: 0.00 μB per formula unit

***

Entry 6:
## PrSmSbCl2 (PBE-GGA)

Data for an optimized crystal structure of PrSmSbCl2.

abc: 4.3029 4.3029 10.7561
angles: 90.00 90.00 120.00
Space group P3m1 (No. 156)
Inequivalent atoms, fractional coordinates:
Pr 0.0000 0.0000 0.0000 (multiplicity 1)
Sm 0.6667 0.3333 0.6606 (multiplicity 1)
Sb 0.3333 0.6667 0.8260 (multiplicity 1)
Cl 0.0000 0.0000 0.5187 (multiplicity 1)
Cl 0.6667 0.3333 0.1480 (multiplicity 1)

- Density: 4.7 g/cm3
- Total DFT energy (no corrections): -25.7 eV per cell
- Size of the total moment: 0.01 μB per formula unit

***

- The highest density belongs to which entry?
  number 4

***

- Number 2 is which compound?
  PrCl